DFT (PBE with a Hubbard U) results for NdUMn2O8 after structural relaxation.

- Space-group type: I-4 (82)
- Crystal system: tetragonal
- Uncorrected energy: -8.143 eV/atom

Lattice parameters (Å, degrees): 5.2513 5.2513 6.6909 113.11 113.11 90.00
Last column: magnetic moment on the atom in μB.
Fractional coordinates of all 12 atoms:
Nd (0.7500, 0.2500, 0.5000)  0.02
U (0.0000, 0.0000, 0.0000)  0.35
Mn (0.5000, 0.5000, 0.0000)  3.91
Mn (0.2500, 0.7500, 0.5000)  3.29
O (0.7459, 0.8514, 0.1223)  -0.07
O (0.3764, 0.2709, 0.1223)  -0.07
O (0.5980, 0.6785, 0.6533)  -0.11
O (0.0553, 0.9748, 0.6533)  -0.11
O (0.0252, 0.4020, 0.3467)  -0.11
O (0.3215, 0.9447, 0.3467)  -0.11
O (0.1486, 0.6236, 0.8777)  -0.07
O (0.7291, 0.2541, 0.8777)  -0.07